Record 1
DyZnIr, relaxed, DFT PBE-GGA; ΔH_f (0 K) = -14.556 kcal/mol of atoms; magnetization = 0.0 μB per formula unit; DFT total energy = -5.5435 eV/atom; volume = 19.62 Å³ per atom
1.0
4.1765 0.0000 0.0000
2.0882 5.0543 -0.1834
2.0882 1.0624 5.5371
Dy Zn Ir
2 2 2
Cartesian
6.2647 4.4222 1.6190
2.0882 1.6944 3.7347
2.0882 1.3806 0.4250
6.2647 4.7360 4.9287
4.1765 2.2469 1.6373
4.1765 3.8697 3.7164

=====

Record 2
LaAgHgPb, relaxed, DFT PBE-GGA; ΔH_f (0 K) = -8.551 kcal/mol of atoms; magnetization = 0.0 μB per formula unit; DFT total energy = -3.3180 eV/atom; volume = 26.50 Å³ per atom; energy above the most stable polymorph in this dataset = 0 meV/atom
1.0
4.9766 0.0000 0.0000
0.0000 4.9764 0.0003
-2.4883 -2.4864 4.2800
La Ag Hg Pb
1 1 1 1
Cartesian
0.0000 4.9761 0.0003
0.0000 2.4891 2.1403
2.4883 0.0010 2.1401
0.0000 0.0018 4.2802

=====

Record 3
Th3Tl5, relaxed, DFT PBE-GGA; ΔH_f (0 K) = -3.364 kcal/mol of atoms; magnetization = 0.0 μB per formula unit; DFT total energy = -4.4072 eV/atom; volume = 28.79 Å³ per atom; energy above the most stable polymorph in this dataset = 0 meV/atom
1.0
6.6941 0.0553 0.0000
-1.4262 6.5407 0.0000
0.0000 0.0000 10.5010
Th Tl
6 10
Cartesian
0.2877 5.1718 0.0000
4.9802 1.4242 0.0000
4.9802 1.4242 5.2505
0.2877 5.1718 5.2505
3.2199 4.0316 7.8757
2.0481 2.5644 2.6252
3.2391 0.4343 7.8757
2.0288 6.1617 2.6252
-0.2927 3.2550 7.8757
5.5606 3.3410 2.6252
0.0037 0.0047 7.8757
5.2642 6.5913 2.6252
1.5675 1.9627 10.0521
3.7004 4.6333 0.4489
3.7004 4.6333 4.8016
1.5675 1.9627 5.6994

=====

> Which of these has the highest DFT total energy?

LaAgHgPb

=====

> Number 1 is which compound?

DyZnIr